Record 1
PrY5Mg6 | GGA-PBE | relaxed

a b c (Å): 5.4014 7.6337 8.5446
angles (deg): 90.00 71.57 90.00
With the nearest neighbours (Å) after each atom.
Sites, in units of the cell vectors:
Mg: 0.1681 0.7458 0.6631  7 Y 3.28-3.33, 1 Pr 3.35
Mg: 0.8319 0.7458 0.3369  7 Y 3.28-3.33, 1 Pr 3.35
Mg: 0.5000 0.2528 0.0000  6 Y 3.27-3.34, 2 Pr 3.32
Y: 0.3319 0.0000 0.3364  8 Mg 3.28-3.34
Y: 0.6681 0.0000 0.6636  8 Mg 3.28-3.34
Mg: 0.1681 0.2542 0.6631  7 Y 3.28-3.33, 1 Pr 3.35
Mg: 0.8319 0.2542 0.3369  7 Y 3.28-3.33, 1 Pr 3.35
Pr: 0.0000 0.0000 0.0000  8 Mg 3.32-3.35
Y: 0.0000 0.5000 0.0000  8 Mg 3.29-3.31
Mg: 0.5000 0.7472 0.0000  6 Y 3.27-3.34, 2 Pr 3.32
Y: 0.3351 0.5000 0.3302  8 Mg 3.27-3.29
Y: 0.6649 0.5000 0.6698  8 Mg 3.27-3.29

Output
* space group: No. 65
* M_tot: 0.000 μB per atom
* ΔH_f (0 K): -0.109 eV per atom

=====

Record 2
Pr4Y2Mg | GGA-PBE | relaxed

a b c (Å): 3.5497 8.8443 8.7595
angles (deg): 116.75 101.69 90.00
With the nearest neighbours (Å) after each atom.
Sites, in units of the cell vectors:
Pr: 0.3657 0.6022 0.7313  8 Pr 3.55-3.95, 2 Mg 3.66, 3 Y 3.66-3.69
Pr: 0.9180 0.2952 0.8359  5 Pr 3.42-3.68, 3 Y 3.46-3.53, 1 Mg 3.49
Y: 0.7820 0.8601 0.5639  1 Mg 3.36, 6 Pr 3.46-3.69, 4 Y 3.55-3.60
Y: 0.2180 0.1399 0.4361  1 Mg 3.36, 6 Pr 3.46-3.69, 4 Y 3.55-3.60
Pr: 0.6343 0.3978 0.2687  8 Pr 3.55-3.95, 2 Mg 3.66, 3 Y 3.66-3.69
Mg: 0.0000 0.0000 0.0000  2 Y 3.36, 6 Pr 3.49-3.66, 2 Mg 3.55
Pr: 0.0820 0.7048 0.1641  5 Pr 3.42-3.68, 3 Y 3.46-3.53, 1 Mg 3.49

Output
* space group: No. 12
* M_tot: 0.000 μB per atom
* ΔH_f (0 K): 0.081 eV per atom

=====

Record 3
Pr12YMg3 | GGA-PBE | relaxed

a b c (Å): 5.0966 5.0966 20.5768
angles (deg): 90.00 90.00 90.00
With the nearest neighbours (Å) after each atom.
Sites, in units of the cell vectors:
Pr: 0.5000 0.0000 0.3765  4 Mg 3.59-3.60, 8 Pr 3.60
Pr: 0.0000 0.5000 0.1284  8 Pr 3.60-3.67, 2 Mg 3.63, 2 Y 3.67
Pr: 0.0000 0.5000 0.8716  8 Pr 3.60-3.67, 2 Mg 3.63, 2 Y 3.67
Mg: 0.0000 0.0000 0.7461  12 Pr 3.59-3.63
Pr: 0.5000 0.5000 0.0000  4 Y 3.60, 8 Pr 3.67
Mg: 0.0000 0.0000 0.5000  12 Pr 3.60
Pr: 0.5000 0.0000 0.6235  4 Mg 3.59-3.60, 8 Pr 3.60
Pr: 0.0000 0.5000 0.3765  4 Mg 3.59-3.60, 8 Pr 3.60
Pr: 0.5000 0.0000 0.8716  8 Pr 3.60-3.67, 2 Mg 3.63, 2 Y 3.67
Mg: 0.0000 0.0000 0.2539  12 Pr 3.59-3.63
Pr: 0.5000 0.5000 0.2530  8 Pr 3.60-3.62, 4 Mg 3.60
Y: 0.0000 0.0000 0.0000  12 Pr 3.60-3.67
Pr: 0.5000 0.5000 0.5000  8 Pr 3.60, 4 Mg 3.60
Pr: 0.0000 0.5000 0.6235  4 Mg 3.59-3.60, 8 Pr 3.60
Pr: 0.5000 0.0000 0.1284  8 Pr 3.60-3.67, 2 Mg 3.63, 2 Y 3.67
Pr: 0.5000 0.5000 0.7470  8 Pr 3.60-3.62, 4 Mg 3.60

Output
* space group: No. 123
* M_tot: 0.000 μB per atom
* ΔH_f (0 K): -0.005 eV per atom

=====

Record 4
Pr2YMg | GGA-PBE | relaxed

a b c (Å): 3.5989 3.5116 10.5473
angles (deg): 99.58 90.00 90.00
With the nearest neighbours (Å) after each atom.
Sites, in units of the cell vectors:
Mg: 0.0000 0.0710 0.1420  8 Pr 3.44-3.47, 4 Mg 3.51-3.60
Y: 0.0000 0.3103 0.6205  4 Y 3.51-3.60, 6 Pr 3.57-3.61
Pr: 0.5000 0.4583 0.9166  4 Mg 3.44, 4 Pr 3.51-3.60, 2 Y 3.57
Pr: 0.5000 0.6859 0.3717  4 Mg 3.47, 4 Pr 3.51-3.60, 4 Y 3.61

Output
* space group: No. 38
* M_tot: 0.002 μB per atom
* ΔH_f (0 K): 0.083 eV per atom

=====

Record 5
PrY2Mg2 | GGA-PBE | relaxed

a b c (Å): 4.8083 4.8083 14.4758
angles (deg): 99.56 99.56 90.00
With the nearest neighbours (Å) after each atom.
Sites, in units of the cell vectors:
Mg: 0.5000 0.0000 0.0000  4 Y 3.22, 4 Mg 3.40
Mg: 0.1788 0.1788 0.3576  5 Y 2.89-3.13
Y: 0.7500 0.2500 0.5000  4 Mg 3.13, 4 Y 3.40
Pr: 0.3618 0.3618 0.7237  4 Mg 3.59, 8 Y 3.82-3.96
Mg: 0.8212 0.8212 0.6424  5 Y 2.89-3.13
Y: 0.2500 0.7500 0.5000  4 Mg 3.13, 4 Y 3.40
Y: 0.0761 0.0761 0.1522  5 Mg 2.89-3.22
Mg: 0.0000 0.5000 0.0000  4 Y 3.22, 4 Mg 3.40
Pr: 0.6382 0.6382 0.2763  4 Mg 3.59, 8 Y 3.82-3.96
Y: 0.9239 0.9239 0.8478  5 Mg 2.89-3.22

Output
* space group: No. 139
* M_tot: 0.001 μB per atom
* ΔH_f (0 K): 0.251 eV per atom

=====

Record 6
Pr5Y2Mg | GGA-PBE | relaxed

a b c (Å): 7.2485 7.2488 7.2239
angles (deg): 120.08 120.09 90.02
With the nearest neighbours (Å) after each atom.
Sites, in units of the cell vectors:
Pr: 0.7223 0.2219 0.9443  2 Mg 3.61-3.62, 4 Y 3.61, 6 Pr 3.61-3.63
Pr: 0.7220 0.7220 0.4440  8 Pr 3.61, 4 Y 3.62
Y: 0.7222 0.2222 0.4443  10 Pr 3.61-3.62, 2 Mg 3.62
Pr: 0.7222 0.7222 0.9442  6 Pr 3.61-3.63, 4 Y 3.61, 2 Mg 3.61
Y: 0.2221 0.7221 0.4443  10 Pr 3.61-3.62, 2 Mg 3.62-3.63
Pr: 0.2221 0.2221 0.9444  2 Mg 3.61, 6 Pr 3.61-3.63, 4 Y 3.61
Pr: 0.2219 0.7223 0.9444  2 Mg 3.61-3.62, 4 Y 3.61, 6 Pr 3.61-3.63
Mg: 0.2222 0.2221 0.4441  8 Pr 3.61-3.62, 4 Y 3.62-3.63

Output
* space group: No. 139
* M_tot: 0.000 μB per atom
* ΔH_f (0 K): 0.005 eV per atom

=====

Record 7
PrY2Mg | GGA-PBE | relaxed

a b c (Å): 3.5987 3.5987 11.4049
angles (deg): 80.92 80.92 60.00
With the nearest neighbours (Å) after each atom.
Sites, in units of the cell vectors:
Mg: 0.0000 0.0000 0.0000  6 Y 3.36, 6 Mg 3.60
Y: 0.7450 0.7450 0.7650  3 Mg 3.36, 6 Y 3.60, 3 Pr 3.63
Pr: 0.5000 0.5000 0.5000  6 Pr 3.60, 6 Y 3.63
Y: 0.2550 0.2550 0.2350  3 Mg 3.36, 6 Y 3.60, 3 Pr 3.63

Output
* space group: No. 166
* M_tot: 0.000 μB per atom
* ΔH_f (0 K): 0.006 eV per atom

=====

Record 8
Pr12Y7Mg | GGA-PBE | relaxed

a b c (Å): 10.1559 10.1559 10.1559
angles (deg): 109.47 109.47 109.47
With the nearest neighbours (Å) after each atom.
Sites, in units of the cell vectors:
Y: 0.5000 0.0000 0.0000  6 Pr 2.95
Pr: 0.2294 0.2302 0.4597  2 Y 2.95
Pr: 0.4597 0.2294 0.2302  2 Y 2.95
Pr: 0.7706 0.2302 0.0008  2 Y 2.95
Y: 0.0000 0.5000 0.5000  12 Pr 4.15-4.48
Y: 0.5000 0.5000 0.0000  12 Pr 4.15-4.48
Y: 0.0000 0.0000 0.5000  6 Pr 2.95
Pr: 0.7698 0.9992 0.2294  2 Y 2.95
Mg: 0.0000 0.0000 0.0000  12 Pr 3.81
Pr: 0.9992 0.2294 0.7698  2 Y 2.95
Y: 0.5000 0.0000 0.5000  12 Pr 4.15-4.48
Pr: 0.2294 0.7698 0.9992  2 Y 2.95
Y: 0.5000 0.5000 0.5000  6 Pr 2.95
Pr: 0.5403 0.7706 0.7698  2 Y 2.95
Pr: 0.7706 0.7698 0.5403  2 Y 2.95
Pr: 0.0008 0.7706 0.2302  2 Y 2.95
Pr: 0.7698 0.5403 0.7706  2 Y 2.95
Pr: 0.2302 0.4597 0.2294  2 Y 2.95
Y: 0.0000 0.5000 0.0000  6 Pr 2.95
Pr: 0.2302 0.0008 0.7706  2 Y 2.95

Output
* space group: No. 204
* M_tot: 0.000 μB per atom
* ΔH_f (0 K): 0.685 eV per atom

=====

Record 9
Pr6Y3Mg | GGA-PBE | relaxed

a b c (Å): 6.6578 9.3246 11.3109
angles (deg): 90.00 92.41 90.00
With the nearest neighbours (Å) after each atom.
Sites, in units of the cell vectors:
Pr: 0.9580 0.6613 0.9615  3 Pr 3.17-3.48, 1 Mg 3.20, 2 Y 3.44-3.52
Pr: 0.2225 0.1574 0.7713  1 Mg 3.37, 4 Pr 3.39-3.71, 2 Y 3.66-3.75
Pr: 0.0873 0.3392 0.4895  1 Mg 3.13, 1 Y 3.22, 3 Pr 3.23-3.48
Y: 0.7287 0.8984 0.7545  1 Mg 3.38, 7 Pr 3.52-3.78, 1 Y 3.59
Pr: 0.0420 0.3387 0.0385  3 Pr 3.17-3.48, 1 Mg 3.20, 2 Y 3.44-3.52
Y: 0.0000 0.0000 0.5000  4 Pr 3.22-3.44, 2 Y 3.59
Y: 0.2713 0.1016 0.2455  1 Mg 3.38, 7 Pr 3.52-3.78, 1 Y 3.59
Mg: 0.5000 0.5000 0.5000  6 Pr 3.13-3.37, 2 Y 3.38
Mg: 0.0000 0.0000 0.0000  6 Pr 3.13-3.37, 2 Y 3.38
Pr: 0.9127 0.6608 0.5105  1 Mg 3.13, 1 Y 3.22, 3 Pr 3.23-3.48
Pr: 0.5420 0.1613 0.5385  3 Pr 3.17-3.48, 1 Mg 3.20, 2 Y 3.44-3.52
Pr: 0.4127 0.8392 0.0105  1 Mg 3.13, 1 Y 3.22, 3 Pr 3.23-3.48
Y: 0.7713 0.3984 0.7455  1 Mg 3.38, 7 Pr 3.52-3.78, 1 Y 3.59
Y: 0.2287 0.6016 0.2545  1 Mg 3.38, 7 Pr 3.52-3.78, 1 Y 3.59
Pr: 0.2775 0.6574 0.7287  1 Mg 3.37, 4 Pr 3.39-3.71, 2 Y 3.66-3.75
Y: 0.5000 0.5000 0.0000  4 Pr 3.22-3.44, 2 Y 3.59
Pr: 0.5873 0.1608 0.9895  1 Mg 3.13, 1 Y 3.22, 3 Pr 3.23-3.48
Pr: 0.7775 0.8426 0.2287  1 Mg 3.37, 4 Pr 3.39-3.71, 2 Y 3.66-3.75
Pr: 0.4580 0.8387 0.4615  3 Pr 3.17-3.48, 1 Mg 3.20, 2 Y 3.44-3.52
Pr: 0.7225 0.3426 0.2713  1 Mg 3.37, 4 Pr 3.39-3.71, 2 Y 3.66-3.75

Output
* space group: No. 14
* M_tot: 0.000 μB per atom
* ΔH_f (0 K): 0.187 eV per atom

=====

Record 10
PrYMg2 | GGA-PBE | relaxed

a b c (Å): 3.5067 3.5067 11.3573
angles (deg): 81.12 81.12 60.00
With the nearest neighbours (Å) after each atom.
Sites, in units of the cell vectors:
Y: 0.6678 0.6678 0.9966  6 Mg 3.36-3.42, 6 Y 3.51
Mg: 0.0813 0.0813 0.7562  3 Y 3.36, 3 Pr 3.47, 6 Mg 3.51
Mg: 0.2523 0.2523 0.2430  3 Y 3.42, 6 Mg 3.51, 3 Pr 3.55
Pr: 0.4986 0.4986 0.5042  6 Mg 3.47-3.55, 6 Pr 3.51

Output
* space group: No. 160
* M_tot: 0.000 μB per atom
* ΔH_f (0 K): 0.047 eV per atom